{
  "formula": "CdNiS",
  "functional": "PBE",
  "state": "optimized geometry",
  "spacegroup": "Cm",
  "lattice_angstrom": [[9.453, 0.000, 0.000], [0.000, 3.259, 0.000], [-2.181, 0.000, 7.333]],
  "species": ["Cd", "Cd", "Cd", "Cd", "Ni", "Ni", "Ni", "Ni", "S", "S", "S", "S"],
  "frac_coords": [[0.000, 0.000, 0.000], [0.065, 0.500, 0.325], [0.500, 0.500, 0.000], [0.565, 0.000, 0.325], [0.022, 0.000, 0.616], [0.267, 0.500, 0.674], [0.522, 0.500, 0.616], [0.767, 0.000, 0.674], [0.224, 0.000, 0.849], [0.354, 0.000, 0.517], [0.724, 0.500, 0.849], [0.854, 0.500, 0.517]]
}

{
  "formula": "CdNiS",
  "functional": "PBE",
  "state": "optimized geometry",
  "spacegroup": "Cm",
  "lattice_angstrom": [[14.050, 0.000, 0.000], [0.000, 5.116, 0.000], [-0.006, 0.000, 3.180]],
  "species": ["Cd", "Cd", "Cd", "Cd", "Ni", "Ni", "Ni", "Ni", "S", "S", "S", "S"],
  "frac_coords": [[0.000, 0.000, 0.000], [0.172, 0.000, 0.500], [0.500, 0.500, 0.000], [0.672, 0.500, 0.500], [0.344, 0.252, 0.504], [0.344, 0.748, 0.504], [0.844, 0.248, 0.504], [0.844, 0.752, 0.504], [0.267, 0.500, 0.003], [0.416, 0.000, 0.004], [0.767, 0.000, 0.003], [0.916, 0.500, 0.004]]
}

Computed size of the total moment (μB/atom) in order:
0.000, 0.000
Computed calculated volume (A^3/atom) in order:
18.8, 19.1
Computed formation energy from raw total energies (eV/atom) in order:
-0.2085, -0.2068